Bi2SbSe: relaxed, GGA-PBE.

Geometry as extended XYZ:
```
16
Lattice="8.298 0.000 0.000 0.000 7.664 0.000 -0.002 0.000 7.818" Properties=species:S:1:pos:R:3 pbc="T T T"
Bi 0.972 1.914 0.004
Bi 0.971 1.917 3.913
Bi 3.030 5.751 7.815
Bi 3.031 5.744 3.906
Bi 5.266 1.913 0.003
Bi 5.265 1.919 3.911
Bi 7.325 5.746 3.905
Bi 7.324 5.749 7.814
Sb 3.109 0.632 1.956
Sb 3.108 3.199 5.864
Sb 5.188 4.464 1.953
Sb 5.187 7.031 5.862
Se 1.011 4.250 1.957
Se 1.010 7.245 5.866
Se 7.286 0.418 1.952
Se 7.285 3.413 5.860
```

Properties
ΔE to the lowest computed polymorph: 39.6 meV per atom
final energy: -3.882 eV/atom
D(E_F): 7.30 states/eV per cell
total magnetization: 0.000 μB per atom
E_form (uncorrected): -3.88 kJ per mole of atoms